AgRhO2 | PBE | optimized geometry

Cell: 4.5508 4.5508 11.4098 Å, 90.00 90.00 90.00°
Last column: nearest neighbours and their distance in Å.
Space group I-42d (No. 122)
Inequivalent atoms, fractional coordinates:
1 Ag 0.0000 0.0000 0.0000 (multiplicity 4)  4 O 2.34
2 Rh 0.0000 0.0000 0.5000 (multiplicity 4)  4 O 1.99
3 O 0.1773 0.2500 0.6250 (multiplicity 8)  2 Rh 1.99

## Properties
**E_form (uncorrected)**: -0.06 eV per atom